First-principles (PBE) data for a relaxed structure of Ho2Tm5Sn4, as listed in Alexandria.

abc: 3.427 7.134 27.474
angles: 31.36 93.58 90.00
Positions (direct):
Ho1 0.907 0.928 0.815
Ho2 0.093 0.072 0.185
Tm1 0.500 0.000 0.000
Tm2 0.787 0.977 0.573
Tm3 0.884 0.615 0.767
Tm4 0.213 0.023 0.427
Tm5 0.116 0.385 0.233
Sn1 0.976 0.823 0.952
Sn2 0.024 0.177 0.048
Sn3 0.195 0.588 0.390
Sn4 0.805 0.412 0.610

Its space group is No. 12. The formation enthalpy at 0 K comes out at -0.05 eV per atom. Its crystal system is monoclinic.

=====

First-principles (PBE) data for a relaxed structure of Rb3MgMo, as listed in Alexandria.

abc: 7.184 7.184 7.184
angles: 90.00 90.00 90.00
Last column: magnetic moment on the atom in μB.
Positions (direct):
Rb1 0.500 0.000 0.000  0.04
Rb2 0.000 0.000 0.500  0.02
Rb3 0.000 0.500 0.000  0.03
Mo1 0.000 0.000 0.000  3.96
Mg1 0.500 0.500 0.500  0.01

Its space group is No. 221. As for the energy above the most stable polymorph in this dataset: 0.00 eV per formula unit. The formation enthalpy at 0 K comes out at 1.23 eV per atom. Its crystal system is cubic.

=====

First-principles (PBE) data for a relaxed structure of Y2SbIr, as listed in Alexandria.

abc: 3.545 3.545 7.586
angles: 90.00 90.00 90.00
Positions (direct):
Y1 0.000 0.000 0.032
Y2 0.000 0.000 0.468
Sb1 0.500 0.500 0.750
Ir1 0.500 0.500 0.250

Its space group is No. 123. The calculation puts the uncorrected formation energy at -0.79 eV per atom. Its crystal system is tetragonal.

=====

First-principles (PBE) data for a relaxed structure of HoMgSb3, as listed in Alexandria.

abc: 6.269 6.188 13.480
angles: 90.00 90.00 90.00
Positions (direct):
Sb1 0.250 0.499 0.741
Sb2 0.500 0.750 0.503
Sb3 0.250 0.682 0.083
Sb4 0.250 0.999 0.259
Sb5 0.750 0.818 0.083
Sb6 0.750 0.501 0.259
Sb7 0.750 0.318 0.917
Sb8 0.750 0.001 0.741
Sb9 0.500 0.250 0.497
Sb10 0.250 0.182 0.917
Sb11 0.000 0.750 0.503
Sb12 0.000 0.250 0.497
Mg1 0.000 0.250 0.108
Mg2 0.500 0.250 0.108
Mg3 0.000 0.750 0.892
Mg4 0.500 0.750 0.892
Ho1 0.250 0.509 0.324
Ho2 0.750 0.991 0.324
Ho3 0.250 0.009 0.676
Ho4 0.750 0.491 0.676

Its space group is No. 57. The calculation puts the uncorrected formation energy at -0.50 eV per atom. Its crystal system is orthorhombic.

=====

First-principles (PBE) data for a relaxed structure of KPaI2O8, as listed in Alexandria.

abc: 6.506 6.506 7.486
angles: 90.00 90.00 120.00
Positions (direct):
O1 0.845 0.690 0.174
O2 0.845 0.155 0.174
O3 0.155 0.310 0.826
O4 0.155 0.845 0.826
O5 0.690 0.845 0.826
O6 0.667 0.333 0.429
O7 0.310 0.155 0.174
O8 0.333 0.667 0.571
Pa1 0.000 0.000 0.000
K1 0.000 0.000 0.500
I1 0.333 0.667 0.809
I2 0.667 0.333 0.191

Its space group is No. 164. The calculation puts the uncorrected formation energy at -1.38 eV per atom. Its crystal system is trigonal.

=====

First-principles (PBE) data for a relaxed structure of Ho2Al3Cr, as listed in Alexandria.

abc: 5.555 5.555 5.475
angles: 90.00 120.49 120.00
Last column: magnetic moment on the atom in μB.
Positions (direct):
Al1 0.500 0.500 0.500  -0.03
Al2 0.500 0.000 0.500  -0.03
Al3 0.000 0.000 0.500  -0.03
Cr1 0.000 0.000 0.000  2.68
Ho1 0.253 0.627 0.880  -0.05
Ho2 0.747 0.373 0.120  -0.05

Its space group is No. 166. The formation enthalpy at 0 K comes out at -0.34 eV per atom. Its crystal system is trigonal.

=====

First-principles (PBE) data for a relaxed structure of Mn2CdMo, as listed in Alexandria.

abc: 5.050 5.050 4.528
angles: 70.44 70.44 32.44
Last column: magnetic moment on the atom in μB.
Positions (direct):
Mn1 0.728 0.728 0.746  1.67
Mn2 0.025 0.025 0.997  1.12
Mo1 0.483 0.483 0.540  -0.46
Cd1 0.264 0.264 0.217  -0.03

Its space group is No. 8. The formation enthalpy at 0 K comes out at 0.43 eV per atom. Its crystal system is monoclinic.

=====

First-principles (PBE) data for a relaxed structure of KHfFeS3, as listed in Alexandria.

abc: 3.670 8.593 9.181
angles: 112.17 90.00 90.00
Last column: magnetic moment on the atom in μB.
Positions (direct):
S1 0.750 0.219 0.541  0.09
S2 0.250 0.536 0.854  0.01
S3 0.250 0.781 0.459  0.09
S4 0.750 0.464 0.146  0.01
S5 0.250 0.123 0.862  0.04
S6 0.750 0.877 0.138  0.04
K1 0.750 0.780 0.751  0.00
K2 0.250 0.220 0.249  0.00
Fe1 0.250 0.070 0.597  2.71
Fe2 0.750 0.930 0.403  2.71
Hf1 0.250 0.682 0.163  -0.05
Hf2 0.750 0.318 0.837  -0.05

Its space group is No. 11. The calculation puts the uncorrected formation energy at -1.22 eV per atom. Its crystal system is monoclinic.

=====

It is found that the uncorrected energy values, taken in the order of the records, are -48.03 -9.19 -29.07 -84.13 -69.96 -32.07 -28.35 -78.49 eV/cell.